1.
Density functional theory data (GGA-PBE) for crystalline Ce3Pm2ZrN6 at its relaxed geometry.

Structure (POSCAR):
```
Ce3Pm2ZrN6
1.0
-4.306 -4.193 1.098
5.158 -1.597 -2.860
2.159 0.745 5.652
Ce N Pm Zr
3 6 2 1
direct
0.834 0.166 0.500 Ce
0.166 0.834 0.500 Ce
0.500 0.500 0.500 Ce
0.608 0.918 0.755 N
0.772 0.772 0.249 N
0.082 0.392 0.245 N
0.228 0.228 0.751 N
0.392 0.082 0.245 N
0.918 0.608 0.755 N
0.333 0.667 0.000 Pm
0.667 0.333 0.000 Pm
0.000 0.000 0.000 Zr
```

Summary:
energy	-0.638	Ry/atom
energy relative to the elements, uncorrected	-1765	kJ/mol of formula units
total moment	0.000	μB per atom
symmetry	C2/m (12)
D(E_F)	8.10	states/eV/cell

2.
Density functional theory data (GGA-PBE) for crystalline TbTm4N5 at its relaxed geometry.

Structure (POSCAR):
```
TbTm4N5
1.0
3.391 0.000 -0.478
-0.067 3.390 -0.478
0.010 0.010 12.337
N Tm Tb
5 4 1
direct
0.500 0.500 0.000 N
0.102 0.102 0.204 N
0.300 0.300 0.600 N
0.700 0.700 0.400 N
0.898 0.898 0.796 N
0.800 0.800 0.599 Tm
0.200 0.200 0.401 Tm
0.601 0.601 0.203 Tm
0.399 0.399 0.797 Tm
0.000 0.000 0.000 Tb
```

Summary:
energy	-0.603	Ry/atom
energy relative to the elements, uncorrected	-1726	kJ/mol of formula units
total moment	0.000	μB per atom
symmetry	I4/mmm (139)
D(E_F)	0.31	states/eV/cell

3.
Density functional theory data (GGA-PBE) for crystalline CaTlNi at its relaxed geometry.

Structure (POSCAR):
```
CaTlNi
1.0
-4.658 1.505 3.251
-4.193 -1.954 3.624
1.133 0.506 3.284
Ca Tl Ni
1 1 1
direct
0.989 0.989 0.011 Ca
0.696 0.696 0.304 Tl
0.315 0.315 0.685 Ni
```

Summary:
energy	-0.253	Ry/atom
total moment	0.000	μB per atom
symmetry	I4mm (107)
D(E_F)	2.13	states/eV/cell
E_form	-0.06	eV/atom